Record 1
Below is YTlInAg after structural relaxation, with properties calculated at the PBE-GGA level.

```
4
Lattice="-3.097 -1.079 -3.977 -2.330 -4.590 -0.282 -5.092 -0.355 0.721" Properties=species:S:1:pos:R:3 pbc="T T T"
Y -7.889 -4.518 -2.654
Tl -5.259 -3.012 -1.769
Ag 0.000 0.000 0.000
In -2.630 -1.506 -0.885
```

Output
total magnetic moment = 0.0 μB/f.u.
SG = F-43m, No. 216
crystal system = cubic
calculated total energy = -3.818 eV per atom



Record 2
Below is TmIn2Ag2 after structural relaxation, with properties calculated at the PBE-GGA level.

```
5
Lattice="4.980 0.000 0.000 -2.490 4.313 0.000 0.000 0.000 5.970" Properties=species:S:1:pos:R:3 pbc="T T T"
Tm 0.000 2.875 0.000
In 0.000 2.875 2.985
In 2.490 1.438 0.000
Ag 0.000 0.000 1.479
Ag 0.000 0.000 4.490
```

Output
total magnetic moment = 0.0 μB/f.u.
SG = P-6m2, No. 187
crystal system = hexagonal
calculated total energy = -3.084 eV per atom



Record 3
Below is Tm3In2Ag4 after structural relaxation, with properties calculated at the PBE-GGA level.

```
9
Lattice="4.814 0.000 0.000 -2.407 5.338 -0.750 0.000 -3.352 8.343" Properties=species:S:1:pos:R:3 pbc="T T T"
Tm 2.407 -0.555 5.403
Tm 0.000 0.000 0.000
Tm 0.000 2.541 2.191
In 2.407 0.350 2.232
In 0.000 1.636 5.362
Ag 2.407 2.184 0.129
Ag 0.000 -0.198 7.465
Ag 2.407 2.645 4.380
Ag 0.000 -0.660 3.214
```

Output
total magnetic moment = 0.0 μB/f.u.
SG = C2/m, No. 12
crystal system = monoclinic
calculated total energy = -3.686 eV per atom



Record 4
Below is TmIn2Ag after structural relaxation, with properties calculated at the PBE-GGA level.

```
4
Lattice="3.393 0.000 0.000 0.000 3.393 0.000 0.000 0.000 7.953" Properties=species:S:1:pos:R:3 pbc="T T T"
Tm 1.696 1.696 3.977
Ag 1.696 1.696 0.000
In 0.000 0.000 6.149
In 0.000 0.000 1.804
```

Output
total magnetic moment = 0.3 μB/f.u.
SG = P4/mmm, No. 123
crystal system = tetragonal
calculated total energy = -3.412 eV per atom



Record 5
Below is Tm7In4Ag after structural relaxation, with properties calculated at the PBE-GGA level.

```
12
Lattice="-3.731 2.733 -2.901 1.509 -1.856 -8.827 -6.227 -4.473 -1.343" Properties=species:S:1:pos:R:3 pbc="T T T"
Tm -5.156 -2.023 -10.687
Tm -3.293 -1.573 -2.384
Tm -0.324 -1.857 -6.470
Tm -8.124 -1.739 -6.601
Tm -4.878 -3.386 -7.191
Tm -1.866 1.367 -1.450
Tm -3.571 -0.210 -5.880
In -5.785 -1.735 -4.468
In -2.663 -1.861 -8.603
In -7.427 -3.441 -9.102
In -1.022 -0.155 -3.969
Ag 0.000 0.000 0.000
```

Output
total magnetic moment = 0.0 μB/f.u.
SG = C2/m, No. 12
crystal system = monoclinic
calculated total energy = -3.861 eV per atom



Record 6
Below is Tm6InAg2 after structural relaxation, with properties calculated at the PBE-GGA level.

```
18
Lattice="0.131 1.250 8.473 7.562 -3.048 -2.625 -1.350 7.323 -4.233" Properties=species:S:1:pos:R:3 pbc="T T T"
Tm 4.450 4.450 -0.771
Tm 1.894 1.075 2.386
Tm 0.991 5.258 -3.400
Tm 5.353 0.267 5.015
Tm 5.083 2.745 2.418
Tm 1.261 2.780 -0.804
Tm 4.457 4.979 -4.332
Tm 1.887 0.546 5.946
Tm 2.178 4.654 2.179
Tm 4.166 0.871 -0.564
Tm 6.376 2.392 -3.004
Tm -0.032 3.133 4.618
In 3.106 2.138 -3.429
In 0.000 0.000 0.000
Ag 1.667 5.853 -0.393
Ag 4.677 -0.328 2.007
Ag -0.789 5.547 2.743
Ag -0.430 3.026 1.497
```

Output
total magnetic moment = 0.0 μB/f.u.
SG = Immm, No. 71
crystal system = orthorhombic
calculated total energy = -4.144 eV per atom



Record 7
Below is TmIn2Ag8 after structural relaxation, with properties calculated at the PBE-GGA level.

```
11
Lattice="4.223 0.000 0.000 0.000 6.840 0.384 -2.111 -2.502 7.312" Properties=species:S:1:pos:R:3 pbc="T T T"
Tm 2.111 0.000 0.000
In 2.111 1.018 4.135
In 0.000 3.320 3.561
Ag 0.000 1.623 6.198
Ag 2.111 5.330 2.996
Ag 2.111 3.709 5.624
Ag 2.111 -0.394 6.774
Ag 0.000 0.628 2.072
Ag 0.000 -0.992 4.700
Ag 2.111 2.715 1.498
Ag 0.000 4.731 0.922
```

Output
total magnetic moment = 0.0 μB/f.u.
SG = C2/m, No. 12
crystal system = monoclinic
calculated total energy = -3.063 eV per atom



Record 8
Below is Tm3InAg after structural relaxation, with properties calculated at the PBE-GGA level.

```
10
Lattice="-3.738 2.548 2.231 -2.647 -4.270 0.443 2.411 -0.433 10.237" Properties=species:S:1:pos:R:3 pbc="T T T"
Tm -3.227 0.827 3.048
Tm 0.013 -0.465 9.952
Tm -1.604 0.180 6.505
Tm -2.672 -2.586 2.174
Tm -3.170 -1.329 11.309
Tm -1.054 -3.231 5.621
In -3.727 -1.636 5.023
In -2.669 1.134 9.334
Ag -2.146 -2.266 8.392
Ag -0.512 -0.784 3.734
```

Output
total magnetic moment = 0.0 μB/f.u.
SG = Cmcm, No. 63
crystal system = orthorhombic
excess energy over the best structure of this formula in the dataset = 0.000 eV/atom



Record 9
Below is Tm3In2Ag2 after structural relaxation, with properties calculated at the PBE-GGA level.

```
7
Lattice="-1.365 0.568 -4.303 2.619 -1.927 -1.085 -6.807 -8.481 -1.366" Properties=species:S:1:pos:R:3 pbc="T T T"
Tm -3.332 -2.248 -4.050
Tm 0.000 0.000 0.000
Tm -4.840 -5.666 -1.618
In -5.237 -7.811 -4.181
In -0.316 -2.030 -2.573
Ag -3.564 -5.417 -4.395
Ag -1.989 -4.424 -2.358
```

Output
total magnetic moment = 0.0 μB/f.u.
SG = Cmmm, No. 65
crystal system = orthorhombic
calculated total energy = -3.879 eV per atom



Record 10
Below is Tm4InAg after structural relaxation, with properties calculated at the PBE-GGA level.

```
6
Lattice="-3.221 -0.153 -1.402 -0.522 -3.118 1.539 -4.816 5.949 10.418" Properties=species:S:1:pos:R:3 pbc="T T T"
Tm -5.991 3.453 8.980
Tm -2.568 -0.775 1.575
Tm -6.936 0.672 7.043
Tm -1.624 2.005 3.512
In -4.280 1.339 5.278
Ag 0.000 0.000 0.000
```

Output
total magnetic moment = 0.4 μB/f.u.
SG = P4/mmm, No. 123
crystal system = tetragonal
excess energy over the best structure of this formula in the dataset = 0.000 eV/atom



Record 11
Below is Tm7InAg4 after structural relaxation, with properties calculated at the PBE-GGA level.

```
12
Lattice="-0.800 -5.567 0.125 6.978 -3.763 3.630 -1.071 -2.526 7.194" Properties=species:S:1:pos:R:3 pbc="T T T"
Tm 4.967 -9.089 6.714
Tm 0.139 -2.767 4.235
Tm 3.837 -3.304 3.966
Tm 1.270 -8.552 6.984
Tm 3.640 -6.029 7.929
Tm -0.400 -2.783 0.063
Tm 1.466 -5.827 3.020
In 0.000 0.000 0.000
Ag 1.111 -5.713 5.829
Ag 3.996 -6.143 5.120
Ag 3.137 -8.768 9.280
Ag 1.970 -3.088 1.669
```

Output
total magnetic moment = 0.0 μB/f.u.
SG = C2/m, No. 12
crystal system = monoclinic
calculated total energy = -3.862 eV per atom



Record 12
Below is Tm6InAg after structural relaxation, with properties calculated at the PBE-GGA level.

```
8
Lattice="4.760 0.001 1.432 -0.432 4.740 1.434 -0.287 -0.314 9.568" Properties=species:S:1:pos:R:3 pbc="T T T"
Tm 3.099 3.395 6.945
Tm 2.644 0.291 8.452
Tm 0.048 2.660 8.453
Tm 1.397 4.136 3.982
Tm 0.942 1.032 5.490
Tm 3.993 1.766 3.981
In 2.164 2.370 1.433
Ag 0.000 0.000 0.000
```

Output
total magnetic moment = 0.0 μB/f.u.
SG = I4/mmm, No. 139
crystal system = tetragonal
calculated total energy = -4.228 eV per atom



Record 13
Below is TmIn2Ag after structural relaxation, with properties calculated at the PBE-GGA level.

```
16
Lattice="-2.244 -3.263 -2.615 8.737 -2.520 -4.351 -1.927 -2.766 9.409" Properties=species:S:1:pos:R:3 pbc="T T T"
Tm 3.791 -5.226 -1.037
Tm 1.632 -2.426 -2.679
Tm 4.861 -3.357 -4.287
Tm 0.775 -3.322 3.481
In -0.019 -6.359 3.644
In 0.672 -4.128 0.268
In -1.926 -3.378 1.562
In 3.894 -4.421 2.175
In 0.224 -0.960 1.005
In 4.585 -2.190 -1.201
In 4.342 -7.589 1.438
In 6.492 -5.170 0.881
Ag 1.914 -6.236 1.833
Ag 2.652 -2.313 0.610
Ag 6.859 -3.526 -1.485
Ag -2.293 -5.023 3.928
```

Output
total magnetic moment = 0.0 μB/f.u.
SG = Immm, No. 71
crystal system = orthorhombic
calculated total energy = -3.407 eV per atom



Record 14
Below is TmIn4Ag7 after structural relaxation, with properties calculated at the PBE-GGA level.

```
12
Lattice="-4.173 -0.632 -3.222 -6.587 -4.233 4.986 -3.996 4.737 -0.129" Properties=species:S:1:pos:R:3 pbc="T T T"
Tm 0.000 0.000 0.000
In -6.274 1.301 -0.881
In -8.483 -1.429 2.515
In -10.958 0.690 0.929
In -3.799 -0.818 0.705
Ag -11.371 -1.944 1.981
Ag -3.386 1.816 -0.346
Ag -5.458 -1.671 3.021
Ag -9.299 1.543 -1.387
Ag -8.008 1.139 1.396
Ag -2.087 -0.316 -1.611
Ag -6.749 -1.267 0.238
```

Output
total magnetic moment = 0.0 μB/f.u.
SG = C2/m, No. 12
crystal system = monoclinic
calculated total energy = -2.910 eV per atom



Record 15
Below is TmInAg after structural relaxation, with properties calculated at the PBE-GGA level.

```
3
Lattice="4.765 0.000 0.000 2.383 4.127 0.000 2.383 1.376 3.891" Properties=species:S:1:pos:R:3 pbc="T T T"
Tm 0.000 0.000 0.000
Ag 2.383 1.376 0.973
In 4.765 2.751 1.945
```

Output
total magnetic moment = 0.0 μB/f.u.
SG = F-43m, No. 216
crystal system = cubic
calculated total energy = -3.613 eV per atom



Record 16
Below is Tm8In2Ag after structural relaxation, with properties calculated at the PBE-GGA level.

```
11
Lattice="-1.095 -0.485 -4.970 -0.122 -6.687 0.680 -8.150 2.392 4.192" Properties=species:S:1:pos:R:3 pbc="T T T"
Tm -7.148 -1.840 1.754
Tm -3.334 -6.083 -1.301
Tm -5.797 -3.667 -0.994
Tm -8.968 0.249 -0.678
Tm -3.571 -1.113 0.895
Tm -6.033 1.302 1.202
Tm -2.220 -2.941 -1.853
Tm -0.399 -5.030 0.579
In -5.976 -0.606 -1.254
In -3.391 -4.174 1.155
Ag -0.548 -0.243 -2.485
```

Output
total magnetic moment = 0.0 μB/f.u.
SG = C2/m, No. 12
crystal system = monoclinic
calculated total energy = -4.185 eV per atom



Record 17
Below is Tm4In5Ag2 after structural relaxation, with properties calculated at the PBE-GGA level.

```
11
Lattice="-1.806 -2.855 -0.908 5.527 -4.470 3.058 -5.269 0.644 8.451" Properties=species:S:1:pos:R:3 pbc="T T T"
Tm 0.251 -4.385 6.546
Tm -4.570 -1.641 7.508
Tm -1.799 -2.295 4.054
Tm 3.023 -5.039 3.092
In 1.440 -2.282 4.309
In 0.158 -0.700 1.887
In 2.764 -2.235 1.529
In 0.100 -3.126 9.622
In -1.182 -1.544 7.200
Ag -2.980 0.111 5.574
Ag 3.238 -3.937 5.935
```

Output
total magnetic moment = 0.0 μB/f.u.
SG = P2/m, No. 10
crystal system = monoclinic
calculated total energy = -3.752 eV per atom



Record 18
Below is TmIn2Ag9 after structural relaxation, with properties calculated at the PBE-GGA level.

```
12
Lattice="5.578 0.000 0.000 2.789 4.830 0.000 2.789 1.610 9.165" Properties=species:S:1:pos:R:3 pbc="T T T"
Tm 0.000 0.000 0.000
In 8.366 4.830 3.863
In 2.789 1.610 5.301
Ag 5.578 3.220 0.006
Ag 5.578 3.220 9.159
Ag 5.578 3.220 4.582
Ag 4.168 2.406 2.327
Ag 6.987 2.406 2.327
Ag 5.578 4.848 2.327
Ag 6.987 4.034 6.838
Ag 5.578 1.593 6.838
Ag 4.168 4.034 6.838
```

Output
total magnetic moment = 0.0 μB/f.u.
SG = R-3m, No. 166
crystal system = trigonal
calculated total energy = -2.987 eV per atom



Record 19
Below is TmInAg3 after structural relaxation, with properties calculated at the PBE-GGA level.

```
10
Lattice="-2.979 -1.813 -3.615 1.214 -4.706 1.362 -7.638 -1.004 3.342" Properties=species:S:1:pos:R:3 pbc="T T T"
Tm -0.737 -2.272 -0.752
Tm -3.738 -4.685 2.939
In -1.616 -5.535 -1.896
In -5.838 -3.235 0.469
Ag -3.119 -2.312 1.235
Ag -8.582 -4.159 -0.282
Ag -3.947 -5.569 0.067
Ag -3.507 -3.201 -1.495
Ag -1.356 -4.645 0.952
Ag -6.511 -5.616 2.196
```

Output
total magnetic moment = 0.0 μB/f.u.
SG = P2_1/m, No. 11
crystal system = monoclinic
excess energy over the best structure of this formula in the dataset = 0.000 eV/atom



Record 20
Below is Tm12In5Ag2 after structural relaxation, with properties calculated at the PBE-GGA level.

```
19
Lattice="9.368 0.000 0.000 -4.684 6.438 1.028 0.000 -1.251 8.389" Properties=species:S:1:pos:R:3 pbc="T T T"
Tm 4.684 4.990 1.870
Tm -3.012 3.553 7.193
Tm 3.012 3.553 7.193
Tm -1.878 4.570 4.063
Tm 1.878 4.570 4.063
Tm 0.000 4.562 7.099
Tm 4.684 0.624 2.318
Tm 6.562 0.616 5.354
Tm 2.806 0.616 5.354
Tm 7.696 1.634 2.224
Tm 1.672 1.634 2.224
Tm 0.000 0.197 7.547
In 0.000 2.263 5.142
In 0.000 4.209 1.351
In 0.000 -0.626 4.194
In 4.684 0.977 8.067
In 4.684 2.924 4.275
Ag 6.722 0.000 0.000
Ag 2.646 0.000 0.000
```

Output
total magnetic moment = 0.0 μB/f.u.
SG = C2/m, No. 12
crystal system = monoclinic
calculated total energy = -4.020 eV per atom



Record 21
Below is Tm3InAg after structural relaxation, with properties calculated at the PBE-GGA level.

```
20
Lattice="-2.328 1.084 6.128 -4.820 -3.652 2.753 8.880 -9.377 6.600" Properties=species:S:1:pos:R:3 pbc="T T T"
Tm 5.492 -6.773 9.291
Tm 2.294 -6.791 11.677
Tm -3.761 -5.172 6.190
Tm -0.563 -5.154 3.804
Tm -0.017 -8.150 9.557
Tm 5.394 -9.993 8.148
Tm 1.748 -3.795 5.924
Tm -3.662 -1.952 7.333
Tm 2.953 -11.640 9.624
Tm 1.315 -8.609 6.580
Tm 0.416 -3.336 8.901
Tm -1.222 -0.305 5.857
In 4.431 -9.367 11.394
In 2.380 -6.050 8.254
In -2.700 -2.578 4.087
In -0.649 -5.895 7.227
Ag 2.030 -6.514 4.676
Ag -1.164 0.542 3.064
Ag -1.117 -3.176 6.413
Ag 2.848 -8.769 9.068
```

Output
total magnetic moment = 0.0 μB/f.u.
SG = C2/c, No. 15
crystal system = monoclinic
excess energy over the best structure of this formula in the dataset = 0.134 eV/atom



Record 22
Below is Tm4In3Ag after structural relaxation, with properties calculated at the PBE-GGA level.

```
8
Lattice="3.707 0.000 0.000 0.000 4.756 0.000 0.000 0.000 11.737" Properties=species:S:1:pos:R:3 pbc="T T T"
Tm 1.853 2.378 3.918
Tm 0.000 2.378 10.021
Tm 0.000 0.000 1.765
Tm 1.853 0.000 7.754
In 0.000 2.378 6.800
In 0.000 0.000 4.926
In 1.853 0.000 10.852
Ag 1.853 2.378 0.912
```

Output
total magnetic moment = 0.0 μB/f.u.
SG = Pmm2, No. 25
crystal system = orthorhombic
excess energy over the best structure of this formula in the dataset = 0.045 eV/atom